KAc2Sn3Se6: optimized geometry, GGA-PBE.

a = 9.842 Å, b = 9.842 Å, c = 8.715 Å
α = 101.57°, β = 101.57°, γ = 27.32°
Fractional positions:
K: 0.000 0.000 0.000
Ac: 0.334 0.334 0.678
Ac: 0.666 0.666 0.322
Sn: 0.000 0.000 0.500
Sn: 0.339 0.339 0.145
Sn: 0.661 0.661 0.855
Se: 0.166 0.166 0.564
Se: 0.176 0.176 0.076
Se: 0.497 0.497 0.731
Se: 0.503 0.503 0.269
Se: 0.824 0.824 0.924
Se: 0.834 0.834 0.436

Results
Calculated total energy   -55.03 eV/cell
Spin magnetization   0.000 μB per atom
DOS(E_F)   0.1415 states/eV/atom


K2AcSnSe4: optimized geometry, GGA-PBE.

a = 9.005 Å, b = 9.005 Å, c = 9.005 Å
α = 121.18°, β = 118.74°, γ = 90.08°
Fractional positions:
K: 0.000 0.000 0.000
K: 0.500 0.000 0.000
K: 0.500 0.000 0.500
K: 0.500 0.500 0.500
Ac: 0.000 0.500 0.500
Ac: 0.500 0.500 0.000
Sn: 0.000 0.000 0.500
Sn: 0.000 0.500 0.000
Se: 0.209 0.745 0.464
Se: 0.219 0.255 0.964
Se: 0.233 0.247 0.514
Se: 0.233 0.719 0.986
Se: 0.767 0.281 0.014
Se: 0.767 0.753 0.486
Se: 0.781 0.745 0.036
Se: 0.791 0.255 0.536

Results
Calculated total energy   -68.13 eV/cell
Spin magnetization   0.000 μB per atom
DOS(E_F)   0.4287 states/eV/atom


K4Ac3SnSe8: optimized geometry, GGA-PBE.

a = 9.326 Å, b = 9.326 Å, c = 9.326 Å
α = 57.68°, β = 57.68°, γ = 57.68°
Fractional positions:
K: 0.000 0.000 0.000
K: 0.000 0.500 0.500
K: 0.500 0.000 0.500
K: 0.500 0.500 0.000
Ac: 0.000 0.000 0.500
Ac: 0.000 0.500 0.000
Ac: 0.500 0.000 0.000
Sn: 0.500 0.500 0.500
Se: 0.240 0.240 0.240
Se: 0.253 0.730 0.730
Se: 0.270 0.270 0.747
Se: 0.270 0.747 0.270
Se: 0.730 0.253 0.730
Se: 0.730 0.730 0.253
Se: 0.747 0.270 0.270
Se: 0.760 0.760 0.760

Results
Calculated total energy   -72.94 eV/cell
Spin magnetization   0.000 μB per atom
DOS(E_F)   0.1573 states/eV/atom


KAcSnSe3: optimized geometry, GGA-PBE.

a = 8.639 Å, b = 4.405 Å, c = 12.094 Å
α = 90.00°, β = 104.11°, γ = 90.00°
Fractional positions:
K: 0.242 0.250 0.267
K: 0.758 0.750 0.733
Ac: 0.338 0.750 0.851
Ac: 0.662 0.250 0.149
Sn: 0.143 0.250 0.564
Sn: 0.857 0.750 0.436
Se: 0.074 0.250 0.770
Se: 0.351 0.750 0.594
Se: 0.404 0.750 0.114
Se: 0.596 0.250 0.886
Se: 0.649 0.250 0.406
Se: 0.926 0.750 0.230

Results
Calculated total energy   -55.06 eV/cell
Spin magnetization   0.000 μB per atom


KSr2Ac3Se6: optimized geometry, GGA-PBE.

a = 10.060 Å, b = 10.060 Å, c = 9.038 Å
α = 103.39°, β = 103.39°, γ = 25.69°
Fractional positions:
K: 0.000 0.000 0.000
Sr: 0.334 0.334 0.668
Sr: 0.666 0.666 0.332
Ac: 0.000 0.000 0.500
Ac: 0.335 0.335 0.167
Ac: 0.665 0.665 0.833
Se: 0.167 0.167 0.582
Se: 0.171 0.171 0.086
Se: 0.500 0.500 0.261
Se: 0.500 0.500 0.739
Se: 0.829 0.829 0.914
Se: 0.833 0.833 0.418

Results
Calculated total energy   -60.30 eV/cell
Spin magnetization   0.000 μB per atom
DOS(E_F)   0.3432 states/eV/atom


K3Ac3TaSe8: optimized geometry, GGA-PBE.

a = 9.365 Å, b = 9.365 Å, c = 9.365 Å
α = 56.02°, β = 56.02°, γ = 56.02°
Fractional positions:
K: 0.000 0.500 0.500
K: 0.500 0.000 0.500
K: 0.500 0.500 0.000
Ac: 0.000 0.000 0.500
Ac: 0.000 0.500 0.000
Ac: 0.500 0.000 0.000
Ta: 0.500 0.500 0.500
Se: 0.241 0.241 0.241
Se: 0.276 0.710 0.710
Se: 0.290 0.290 0.724
Se: 0.290 0.724 0.290
Se: 0.710 0.276 0.710
Se: 0.710 0.710 0.276
Se: 0.724 0.290 0.290
Se: 0.759 0.759 0.759

Results
Calculated total energy   -78.10 eV/cell
Spin magnetization   0.068 μB per atom
DOS(E_F)   0.3232 states/eV/atom


K4Ac3TbSe8: optimized geometry, GGA-PBE.

a = 9.308 Å, b = 9.308 Å, c = 9.308 Å
α = 57.78°, β = 57.78°, γ = 57.78°
Fractional positions:
K: 0.000 0.000 0.000
K: 0.000 0.500 0.500
K: 0.500 0.000 0.500
K: 0.500 0.500 0.000
Ac: 0.000 0.000 0.500
Ac: 0.000 0.500 0.000
Ac: 0.500 0.000 0.000
Tb: 0.500 0.500 0.500
Se: 0.240 0.240 0.240
Se: 0.253 0.729 0.729
Se: 0.271 0.271 0.747
Se: 0.271 0.747 0.271
Se: 0.729 0.253 0.729
Se: 0.729 0.729 0.253
Se: 0.747 0.271 0.271
Se: 0.760 0.760 0.760

Results
Calculated total energy   -77.88 eV/cell
Spin magnetization   0.000 μB per atom
DOS(E_F)   0.0000 states/eV/atom


K2AcTbSe4: optimized geometry, GGA-PBE.

a = 7.645 Å, b = 4.405 Å, c = 8.126 Å
α = 90.00°, β = 108.19°, γ = 90.00°
Fractional positions:
K: 0.000 0.000 0.000
K: 0.500 0.500 0.000
Ac: 0.000 0.500 0.500
Tb: 0.500 0.000 0.500
Se: 0.255 0.000 0.715
Se: 0.279 0.500 0.293
Se: 0.721 0.500 0.707
Se: 0.745 0.000 0.285

Results
Calculated total energy   -39.06 eV/cell
Spin magnetization   0.000 μB per atom
DOS(E_F)   0.0000 states/eV/atom


K4Ac3ThSe8: optimized geometry, GGA-PBE.

a = 9.314 Å, b = 9.314 Å, c = 9.314 Å
α = 57.77°, β = 57.77°, γ = 57.77°
Fractional positions:
K: 0.000 0.000 0.000
K: 0.000 0.500 0.500
K: 0.500 0.000 0.500
K: 0.500 0.500 0.000
Ac: 0.000 0.000 0.500
Ac: 0.000 0.500 0.000
Ac: 0.500 0.000 0.000
Th: 0.500 0.500 0.500
Se: 0.241 0.241 0.241
Se: 0.255 0.730 0.730
Se: 0.270 0.270 0.745
Se: 0.270 0.745 0.270
Se: 0.730 0.255 0.730
Se: 0.730 0.730 0.255
Se: 0.745 0.270 0.270
Se: 0.759 0.759 0.759

Results
Calculated total energy   -79.71 eV/cell
Spin magnetization   0.000 μB per atom
DOS(E_F)   0.3414 states/eV/atom


K3Ac3ThSe8: optimized geometry, GGA-PBE.

a = 9.373 Å, b = 9.373 Å, c = 9.373 Å
α = 57.89°, β = 57.89°, γ = 57.89°
Fractional positions:
K: 0.000 0.500 0.500
K: 0.500 0.000 0.500
K: 0.500 0.500 0.000
Ac: 0.000 0.000 0.500
Ac: 0.000 0.500 0.000
Ac: 0.500 0.000 0.000
Th: 0.500 0.500 0.500
Se: 0.239 0.239 0.239
Se: 0.254 0.726 0.726
Se: 0.274 0.274 0.746
Se: 0.274 0.746 0.274
Se: 0.726 0.254 0.726
Se: 0.726 0.726 0.254
Se: 0.746 0.274 0.274
Se: 0.761 0.761 0.761

Results
Calculated total energy   -77.95 eV/cell
Spin magnetization   0.000 μB per atom
DOS(E_F)   0.0000 states/eV/atom


K3Ac2ThSe6: optimized geometry, GGA-PBE.

a = 10.316 Å, b = 10.316 Å, c = 9.334 Å
α = 105.97°, β = 105.97°, γ = 24.96°
Fractional positions:
K: 0.000 0.000 0.000
K: 0.332 0.332 0.667
K: 0.668 0.668 0.333
Ac: 0.335 0.335 0.167
Ac: 0.665 0.665 0.833
Th: 0.000 0.000 0.500
Se: 0.153 0.153 0.589
Se: 0.173 0.173 0.070
Se: 0.497 0.497 0.283
Se: 0.503 0.503 0.717
Se: 0.827 0.827 0.930
Se: 0.847 0.847 0.411

Results
Calculated total energy   -60.30 eV/cell
Spin magnetization   0.000 μB per atom
DOS(E_F)   0.4149 states/eV/atom


K4Ac3TiSe8: optimized geometry, GGA-PBE.

a = 9.256 Å, b = 9.256 Å, c = 9.256 Å
α = 57.06°, β = 57.06°, γ = 57.06°
Fractional positions:
K: 0.000 0.000 0.000
K: 0.000 0.500 0.500
K: 0.500 0.000 0.500
K: 0.500 0.500 0.000
Ac: 0.000 0.000 0.500
Ac: 0.000 0.500 0.000
Ac: 0.500 0.000 0.000
Ti: 0.500 0.500 0.500
Se: 0.242 0.242 0.242
Se: 0.268 0.718 0.718
Se: 0.282 0.282 0.732
Se: 0.282 0.732 0.282
Se: 0.718 0.268 0.718
Se: 0.718 0.718 0.268
Se: 0.732 0.282 0.282
Se: 0.758 0.758 0.758

Results
Calculated total energy   -77.89 eV/cell
Spin magnetization   0.063 μB per atom
DOS(E_F)   0.3936 states/eV/atom


KAcTiSe4: optimized geometry, GGA-PBE.

a = 7.253 Å, b = 7.065 Å, c = 9.274 Å
α = 90.00°, β = 107.22°, γ = 90.00°
Fractional positions:
K: 0.222 0.250 0.432
K: 0.778 0.750 0.568
Ac: 0.271 0.250 0.948
Ac: 0.729 0.750 0.052
Ti: 0.282 0.750 0.189
Ti: 0.718 0.250 0.811
Se: 0.079 0.750 0.348
Se: 0.097 0.750 0.929
Se: 0.494 0.509 0.770
Se: 0.494 0.991 0.770
Se: 0.506 0.009 0.230
Se: 0.506 0.491 0.230
Se: 0.903 0.250 0.071
Se: 0.921 0.250 0.652

Results
Calculated total energy   -75.31 eV/cell
Spin magnetization   0.000 μB per atom
DOS(E_F)   0.0000 states/eV/atom


KAcTlSe3: optimized geometry, GGA-PBE.

a = 8.990 Å, b = 4.925 Å, c = 10.409 Å
α = 90.00°, β = 102.93°, γ = 90.00°
Fractional positions:
K: 0.198 0.250 0.211
K: 0.802 0.750 0.789
Ac: 0.327 0.750 0.857
Ac: 0.673 0.250 0.143
Tl: 0.115 0.250 0.593
Tl: 0.885 0.750 0.407
Se: 0.098 0.250 0.860
Se: 0.223 0.750 0.531
Se: 0.455 0.750 0.153
Se: 0.545 0.250 0.847
Se: 0.777 0.250 0.469
Se: 0.902 0.750 0.140

Results
Calculated total energy   -50.20 eV/cell
Spin magnetization   0.000 μB per atom
DOS(E_F)   0.1963 states/eV/atom


K2AcTlSe4: optimized geometry, GGA-PBE.

a = 9.025 Å, b = 9.025 Å, c = 8.812 Å
α = 118.26°, β = 118.26°, γ = 91.86°
Fractional positions:
K: 0.000 0.000 0.000
K: 0.000 0.000 0.500
K: 0.000 0.500 0.000
K: 0.500 0.000 0.500
Ac: 0.000 0.500 0.500
Ac: 0.500 0.000 0.000
Tl: 0.500 0.500 0.000
Tl: 0.500 0.500 0.500
Se: 0.251 0.741 0.980
Se: 0.259 0.749 0.520
Se: 0.284 0.293 0.515
Se: 0.293 0.284 0.015
Se: 0.707 0.716 0.985
Se: 0.716 0.707 0.485
Se: 0.741 0.251 0.480
Se: 0.749 0.259 0.020

Results
Calculated total energy   -63.49 eV/cell
Spin magnetization   0.000 μB per atom
DOS(E_F)   0.2062 states/eV/atom


K3Ac3TmSe8: optimized geometry, GGA-PBE.

a = 8.999 Å, b = 8.999 Å, c = 9.346 Å
α = 118.81°, β = 118.81°, γ = 59.95°
Fractional positions:
K: 0.000 0.000 0.000
K: 0.000 0.500 0.000
K: 0.500 0.000 0.000
Ac: 0.000 0.500 0.500
Ac: 0.500 0.000 0.500
Ac: 0.500 0.500 0.500
Tm: 0.000 0.000 0.500
Se: 0.222 0.222 0.702
Se: 0.222 0.759 0.702
Se: 0.241 0.778 0.298
Se: 0.260 0.260 0.280
Se: 0.740 0.740 0.720
Se: 0.759 0.222 0.702
Se: 0.778 0.241 0.298
Se: 0.778 0.778 0.298

Results
Calculated total energy   -73.34 eV/cell
Spin magnetization   0.000 μB per atom
DOS(E_F)   1.1812 states/eV/atom


K3AcTm2Se6: optimized geometry, GGA-PBE.

a = 7.458 Å, b = 7.458 Å, c = 8.103 Å
α = 98.87°, β = 98.87°, γ = 120.02°
Fractional positions:
K: 0.000 0.000 0.000
K: 0.336 0.664 0.000
K: 0.664 0.336 0.000
Ac: 0.500 0.500 0.500
Tm: 0.167 0.833 0.500
Tm: 0.833 0.167 0.500
Se: 0.075 0.431 0.293
Se: 0.214 0.214 0.707
Se: 0.431 0.075 0.293
Se: 0.569 0.925 0.707
Se: 0.786 0.786 0.293
Se: 0.925 0.569 0.707

Results
Calculated total energy   -58.34 eV/cell
Spin magnetization   0.000 μB per atom
DOS(E_F)   0.0000 states/eV/atom


KAc2USe5: optimized geometry, GGA-PBE.

a = 8.947 Å, b = 8.947 Å, c = 8.947 Å
α = 145.22°, β = 128.70°, γ = 63.47°
Fractional positions:
K: 0.000 0.000 0.000
Ac: 0.296 0.796 0.500
Ac: 0.704 0.204 0.500
U: 0.500 0.500 0.000
Se: 0.116 0.353 0.763
Se: 0.410 0.647 0.763
Se: 0.500 0.000 0.500
Se: 0.590 0.353 0.237
Se: 0.884 0.647 0.237

Results
Calculated total energy   -52.20 eV/cell
Spin magnetization   0.327 μB per atom
DOS(E_F)   0.6876 states/eV/atom


K4Ac3USe8: optimized geometry, GGA-PBE.

a = 9.315 Å, b = 9.315 Å, c = 9.315 Å
α = 57.97°, β = 57.97°, γ = 57.97°
Fractional positions:
K: 0.000 0.000 0.000
K: 0.000 0.500 0.500
K: 0.500 0.000 0.500
K: 0.500 0.500 0.000
Ac: 0.000 0.000 0.500
Ac: 0.000 0.500 0.000
Ac: 0.500 0.000 0.000
U: 0.500 0.500 0.500
Se: 0.240 0.240 0.240
Se: 0.251 0.731 0.731
Se: 0.269 0.269 0.749
Se: 0.269 0.749 0.269
Se: 0.731 0.251 0.731
Se: 0.731 0.731 0.251
Se: 0.749 0.269 0.269
Se: 0.760 0.760 0.760

Results
Calculated total energy   -82.25 eV/cell
Spin magnetization   0.188 μB per atom
DOS(E_F)   0.3038 states/eV/atom


Listing formation energy from raw total energies for the structures above in their given order: -1.066, -1.227, -1.522, -1.311, -1.884, -1.517, -1.791, -1.774, -1.731, -1.802, -1.705, -1.588, -1.516, -1.179, -1.142, -1.692, -1.757, -1.575, -1.648 eV/atom.